Record 1
## CdGeSeO (GGA-PBE)

Data for a relaxed structure of CdGeSeO.

```
CdGeSeO
1.0
5.2084 0.0000 0.0000
0.0000 5.2084 0.0000
0.0000 0.0000 7.0040
Cd Ge Se O
2 2 2 2
Direct
0.2500 0.2500 0.1460
0.7500 0.7500 0.8540
0.2500 0.2500 0.6955
0.7500 0.7500 0.3045
0.2500 0.7500 0.0000
0.7500 0.2500 0.0000
0.2500 0.2500 0.4542
0.7500 0.7500 0.5458
```

Output
SG: P4/nmm, No. 129
ρ: 4.9 Mg/m³
raw total energy: -3.999 eV per atom

Record 2
## Gd2Sc2I5N (GGA-PBE)

Data for a relaxed structure of Gd2Sc2I5N.

```
Gd2Sc2I5N
1.0
10.3384 -1.9190 0.0000
10.3384 1.9190 0.0000
-1.7114 0.0000 8.3259
Gd Sc I N
2 2 5 1
Direct
0.9998 0.9998 0.1910
0.0002 0.0002 0.8090
0.3927 0.3927 0.9470
0.6073 0.6073 0.0530
0.1519 0.1519 0.3134
0.1525 0.1525 0.8368
0.5000 0.5000 0.5000
0.8475 0.8475 0.1632
0.8481 0.8481 0.6866
0.5000 0.5000 0.0000
```

Output
SG: C2/m, No. 12
ρ: 5.3 Mg/m³
size of the total moment: 0.00 μB per cell
raw total energy: -5.068 eV per atom

Record 3
## LaYNp (GGA-PBE)

Data for a relaxed structure of LaYNp.

```
LaYNp
1.0
0.0000 3.6644 3.6644
3.6644 0.0000 3.6644
3.6644 3.6644 0.0000
La Y Np
1 1 1
Direct
0.0000 0.0000 0.0000
0.2500 0.2500 0.2500
0.7500 0.7500 0.7500
```

Output
SG: F-43m, No. 216
ρ: 7.8 Mg/m³
size of the total moment: 5.65 μB per cell
calculated formation energy: 1.068 eV/atom

Record 4
## ZrCuGePt (GGA-PBE)

Data for a relaxed structure of ZrCuGePt.

```
ZrCuGePt
1.0
0.0000 3.2144 3.2144
3.2144 0.0000 3.2144
3.2144 3.2144 0.0000
Zr Cu Ge Pt
1 1 1 1
Direct
0.0000 0.0000 0.0000
0.7500 0.7500 0.7500
0.5000 0.5000 0.5000
0.2500 0.2500 0.2500
```

Output
SG: F-43m, No. 216
ρ: 10.6 Mg/m³
size of the total moment: 0.00 μB per cell
raw total energy: -6.206 eV per atom

Record 5
## Dy3Y2S7 (GGA-PBE)

Data for a relaxed structure of Dy3Y2S7.

```
Dy3Y2S7
1.0
6.4225 -1.9032 0.0000
6.4225 1.9032 0.0000
-2.9314 0.0000 11.2259
Dy Y S
3 2 7
Direct
0.0000 0.0000 0.0000
0.3004 0.3004 0.1880
0.6996 0.6996 0.8120
0.1121 0.1121 0.4214
0.8879 0.8879 0.5786
0.0414 0.0414 0.7851
0.2592 0.2592 0.6479
0.3406 0.3406 0.9486
0.5000 0.5000 0.5000
0.6594 0.6594 0.0514
0.7408 0.7408 0.3521
0.9586 0.9586 0.2149
```

Output
SG: C2/m, No. 12
ρ: 5.4 Mg/m³
size of the total moment: 0.00 μB per cell
raw total energy: -6.713 eV per atom

Record 6
## GdZrAsO (GGA-PBE)

Data for a relaxed structure of GdZrAsO.

```
GdZrAsO
1.0
4.0043 0.0000 0.0000
0.0000 7.5071 0.0000
0.0000 0.0000 5.8463
Gd Zr As O
2 2 2 2
Direct
0.0000 0.2223 0.0000
0.0000 0.7777 0.5000
0.5000 0.3922 0.5486
0.5000 0.6078 0.0486
0.0000 0.1608 0.4950
0.0000 0.8392 0.9950
0.5000 0.3432 0.9113
0.5000 0.6568 0.4113
```

Output
SG: Pmc2_1, No. 26
ρ: 6.4 Mg/m³
size of the total moment: 0.05 μB per cell
raw total energy: -7.453 eV per atom

Record 7
## Ho2Ge (GGA-PBE)

Data for a relaxed structure of Ho2Ge.

```
Ho2Ge
1.0
7.8841 0.0000 0.0000
-3.9420 6.8278 0.0000
0.0000 0.0000 4.1773
Ho Ge
6 3
Direct
0.0000 0.2657 0.0000
0.0000 0.5976 0.5000
0.2657 0.0000 0.0000
0.4024 0.4024 0.5000
0.5976 0.0000 0.5000
0.7343 0.7343 0.0000
0.0000 0.0000 0.5000
0.3333 0.6667 0.0000
0.6667 0.3333 0.0000
```

Output
SG: P-62m, No. 189
ρ: 8.9 Mg/m³
size of the total moment: 1.31 μB per cell
raw total energy: -5.210 eV per atom

Record 8
## YAgSnTe2Se (GGA-PBE)

Data for a relaxed structure of YAgSnTe2Se.

```
YAgSnTe2Se
1.0
2.1455 -7.2964 0.0000
2.1455 7.2964 0.0000
0.0000 0.0000 10.5680
Y Ag Sn Te Se
2 2 2 4 2
Direct
0.0000 0.0000 0.0000
0.0000 0.0000 0.5000
0.4778 0.5222 0.7500
0.5222 0.4778 0.2500
0.2569 0.7431 0.2500
0.7431 0.2569 0.7500
0.3495 0.6505 0.5548
0.3495 0.6505 0.9452
0.6505 0.3495 0.0548
0.6505 0.3495 0.4452
0.0885 0.9115 0.7500
0.9115 0.0885 0.2500
```

Output
SG: Cmcm, No. 63
ρ: 6.5 Mg/m³
size of the total moment: 0.01 μB per cell
raw total energy: -4.587 eV per atom

Record 9
## TaNbTlFe (GGA-PBE)

Data for a relaxed structure of TaNbTlFe.

```
TaNbTlFe
1.0
0.0000 3.2544 3.2544
3.2544 0.0000 3.2544
3.2544 3.2544 0.0000
Ta Nb Tl Fe
1 1 1 1
Direct
0.0000 0.0000 0.0000
0.2500 0.2500 0.2500
0.5000 0.5000 0.5000
0.7500 0.7500 0.7500
```

Output
SG: F-43m, No. 216
ρ: 12.9 Mg/m³
size of the total moment: 2.82 μB per cell
raw total energy: -7.647 eV per atom

Record 10
## NaTaNb (GGA-PBE)

Data for a relaxed structure of NaTaNb.

```
NaTaNb
1.0
0.0000 3.2687 3.2687
3.2687 0.0000 3.2687
3.2687 3.2687 0.0000
Na Ta Nb
1 1 1
Direct
0.0000 0.0000 0.0000
0.2500 0.2500 0.2500
0.5000 0.5000 0.5000
```

Output
SG: F-43m, No. 216
ρ: 7.1 Mg/m³
size of the total moment: 0.07 μB per cell
raw total energy: -5.949 eV per atom

Record 11
## AgPdNO (GGA-PBE)

Data for a relaxed structure of AgPdNO.

```
AgPdNO
1.0
4.3275 0.0000 0.0000
0.0000 4.3275 0.0000
0.0000 0.0000 5.5337
Ag Pd N O
2 2 2 2
Direct
0.2500 0.7500 0.0000
0.7500 0.2500 0.0000
0.2500 0.2500 0.4509
0.7500 0.7500 0.5491
0.2500 0.2500 0.0853
0.7500 0.7500 0.9147
0.2500 0.7500 0.5000
0.7500 0.2500 0.5000
```

Output
SG: P4/nmm, No. 129
ρ: 7.8 Mg/m³
raw total energy: -4.611 eV per atom

Record 12
## ZrS2 (GGA-PBE)

Data for a relaxed structure of ZrS2.

```
ZrS2
1.0
3.6781 0.0000 0.0000
-1.8390 3.1853 0.0000
0.0000 0.0000 12.2717
Zr S
2 4
Direct
0.3333 0.6667 0.0000
0.6667 0.3333 0.5000
0.0000 0.0000 0.3807
0.0000 0.0000 0.8807
0.3333 0.6667 0.6194
0.6667 0.3333 0.1194
```

Output
SG: P6_3mc, No. 186
ρ: 3.6 Mg/m³
size of the total moment: 0.00 μB per cell
raw total energy: -7.114 eV per atom